Entry 1:
The following is a DFT calculation (PBE-GGA) of a relaxed Se3SCl crystal.

- distance to the lowest polymorph of the same formula (eV/atom) = 1.052
- total magnetization (μB per formula unit) = 0.9
- theoretical density (g cm⁻³) = 4.1
- formation energy without anion corrections (eV per atom) = 1.29
- DFT total energy (hartree per atom) = -0.0732

Lattice parameters (Å, degrees): 4.979 4.979 4.979 90.00 90.00 90.00
Fractional positions:
Se 0.000 0.000 0.500
Se 0.500 0.000 0.000
Se 0.000 0.500 0.000
S 0.500 0.500 0.500
Cl 0.000 0.000 0.000

Entry 2:
The following is a DFT calculation (PBE-GGA) of a relaxed SeSCl2 crystal.

- distance to the lowest polymorph of the same formula (eV/atom) = 0.486
- total magnetization (μB per formula unit) = 0.3
- theoretical density (g cm⁻³) = 2.9
- formation energy without anion corrections (eV per atom) = 0.42
- DFT total energy (hartree per atom) = -0.0883

Lattice parameters (Å, degrees): 12.526 12.526 12.526 14.30 14.30 14.30
Fractional positions:
Cl 0.942 0.942 0.942
Cl 0.058 0.058 0.058
S 0.000 0.000 0.000
Se 0.500 0.500 0.500

Entry 3:
The following is a DFT calculation (PBE-GGA) of a relaxed Se2SCl crystal.

- distance to the lowest polymorph of the same formula (eV/atom) = 0.471
- total magnetization (μB per formula unit) = 0.0
- theoretical density (g cm⁻³) = 4.9
- formation energy without anion corrections (eV per atom) = 0.77
- DFT total energy (hartree per atom) = -0.0906

Lattice parameters (Å, degrees): 4.769 4.769 4.769 60.00 60.00 60.00
Fractional positions:
Se 0.750 0.750 0.750
Se 0.250 0.250 0.250
Cl 0.500 0.500 0.500
S 0.000 0.000 0.000

Entry 4:
The following is a DFT calculation (PBE-GGA) of a relaxed SeS2Cl crystal.

- distance to the lowest polymorph of the same formula (eV/atom) = 0.000
- total magnetization (μB per formula unit) = 1.0
- theoretical density (g cm⁻³) = 1.9
- formation energy without anion corrections (eV per atom) = 0.14
- DFT total energy (hartree per atom) = -0.1198

Lattice parameters (Å, degrees): 5.155 5.167 6.325 89.54 89.36 109.09
Fractional positions:
Cl 0.555 0.230 0.591
S 0.323 0.998 0.101
S 0.033 0.704 0.971
Se 0.227 0.898 0.449

Entry 5:
The following is a DFT calculation (PBE-GGA) of a relaxed SeSCl2 crystal.

- distance to the lowest polymorph of the same formula (eV/atom) = 0.729
- total magnetization (μB per formula unit) = 0.0
- theoretical density (g cm⁻³) = 3.6
- formation energy without anion corrections (eV per atom) = 0.67
- DFT total energy (hartree per atom) = -0.0794

Lattice parameters (Å, degrees): 4.317 4.317 9.568 76.96 76.96 90.00
Fractional positions:
S 0.500 0.500 0.000
S 0.250 0.750 0.500
Cl 0.375 0.373 0.750
Cl 0.123 0.625 0.250
Cl 0.627 0.125 0.250
Cl 0.875 0.877 0.750
Se 0.000 0.000 0.000
Se 0.750 0.250 0.500

Entry 6:
The following is a DFT calculation (PBE-GGA) of a relaxed Se2SCl crystal.

- distance to the lowest polymorph of the same formula (eV/atom) = 0.000
- total magnetization (μB per formula unit) = 0.0
- theoretical density (g cm⁻³) = 3.9
- formation energy without anion corrections (eV per atom) = 0.30
- DFT total energy (hartree per atom) = -0.1079

Lattice parameters (Å, degrees): 8.531 8.531 8.531 24.73 24.73 24.73
Fractional positions:
S 0.500 0.500 0.500
Se 0.898 0.898 0.898
Se 0.102 0.102 0.102
Cl 0.000 0.000 0.000

Entry 7:
The following is a DFT calculation (PBE-GGA) of a relaxed SeS2Cl crystal.

- distance to the lowest polymorph of the same formula (eV/atom) = 0.380
- total magnetization (μB per formula unit) = 0.0
- theoretical density (g cm⁻³) = 3.2
- formation energy without anion corrections (eV per atom) = 0.52
- DFT total energy (hartree per atom) = -0.1058

Lattice parameters (Å, degrees): 7.005 7.005 6.226 55.77 55.77 90.00
Fractional positions:
S 0.875 0.925 0.750
S 0.675 0.125 0.250
S 0.075 0.625 0.250
S 0.375 0.325 0.750
Se 0.750 0.250 0.500
Se 0.000 0.000 0.000
Cl 0.250 0.750 0.500
Cl 0.500 0.500 0.000

Entry 8:
The following is a DFT calculation (PBE-GGA) of a relaxed SiSeSCl crystal.

- distance to the lowest polymorph of the same formula (eV/atom) = 0.000
- total magnetization (μB per formula unit) = 0.4
- theoretical density (g cm⁻³) = 2.2
- formation energy without anion corrections (eV per atom) = -0.55
- DFT total energy (hartree per atom) = -0.1568

Lattice parameters (Å, degrees): 3.215 6.533 7.123 63.04 77.28 89.52
Fractional positions:
Se 0.110 0.504 0.974
S 0.767 0.244 0.660
Si 0.259 0.453 0.670
Cl 0.384 0.773 0.402

Entry 9:
The following is a DFT calculation (PBE-GGA) of a relaxed SiSeSCl crystal.

- distance to the lowest polymorph of the same formula (eV/atom) = 0.091
- total magnetization (μB per formula unit) = 0.0
- theoretical density (g cm⁻³) = 2.3
- formation energy without anion corrections (eV per atom) = -0.46
- DFT total energy (hartree per atom) = -0.1535

Lattice parameters (Å, degrees): 3.415 5.649 7.101 71.37 84.11 77.05
Fractional positions:
Se 0.847 0.494 0.184
Cl 0.358 0.044 0.611
Si 0.381 0.171 0.307
S 0.918 0.973 0.192

Entry 10:
The following is a DFT calculation (PBE-GGA) of a relaxed SiSeS2Cl crystal.

- distance to the lowest polymorph of the same formula (eV/atom) = 0.841
- total magnetization (μB per formula unit) = 0.0
- theoretical density (g cm⁻³) = 3.1
- formation energy without anion corrections (eV per atom) = 1.19
- DFT total energy (hartree per atom) = -0.0958

Lattice parameters (Å, degrees): 4.462 5.631 4.462 90.00 90.00 90.00
Fractional positions:
S 0.000 0.000 0.500
S 0.500 0.000 0.000
Cl 0.000 0.000 0.000
Se 0.500 0.500 0.500
Si 0.000 0.500 0.000

Entry 11:
The following is a DFT calculation (PBE-GGA) of a relaxed SiSeSCl crystal.

- distance to the lowest polymorph of the same formula (eV/atom) = 0.504
- total magnetization (μB per formula unit) = 0.0
- theoretical density (g cm⁻³) = 2.6
- formation energy without anion corrections (eV per atom) = -0.04
- DFT total energy (hartree per atom) = -0.1383

Lattice parameters (Å, degrees): 3.336 5.065 7.137 94.85 90.28 109.72
Fractional positions:
Se 0.517 0.789 0.157
Si 0.578 0.901 0.494
Cl 0.275 0.315 0.126
S 0.952 0.652 0.591

Entry 12:
The following is a DFT calculation (PBE-GGA) of a relaxed SiSeS2Cl crystal.

- distance to the lowest polymorph of the same formula (eV/atom) = 0.000
- total magnetization (μB per formula unit) = 0.0
- theoretical density (g cm⁻³) = 3.6
- formation energy without anion corrections (eV per atom) = 0.35
- DFT total energy (hartree per atom) = -0.1267

Lattice parameters (Å, degrees): 4.647 4.647 4.462 90.00 90.00 90.00
Fractional positions:
Cl 0.000 0.000 0.500
Si 0.000 0.000 0.000
S 0.500 0.000 0.000
S 0.000 0.500 0.000
Se 0.500 0.500 0.500

Entry 13:
The following is a DFT calculation (PBE-GGA) of a relaxed Sm8Se4S3Cl crystal.

- total magnetization (μB per formula unit) = 0.0
- theoretical density (g cm⁻³) = 7.0
- formation energy without anion corrections (eV per atom) = -1.83
- DFT total energy (hartree per atom) = -0.2186

Lattice parameters (Å, degrees): 8.207 8.195 8.207 120.05 120.00 90.00
Fractional positions:
Sm 0.254 0.735 0.507
Sm 0.728 0.735 0.982
Sm 0.742 0.726 0.484
Sm 0.258 0.274 0.516
Sm 0.746 0.265 0.493
Sm 0.272 0.265 0.018
Sm 0.254 0.735 0.982
Sm 0.746 0.265 0.018
Se 0.000 0.000 0.000
Se 0.000 0.000 0.500
Se 0.500 0.000 0.000
Se 0.500 0.000 0.500
S 0.500 0.500 0.500
S 0.500 0.500 0.000
S 0.000 0.500 0.500
Cl 0.000 0.500 0.000

Entry 14:
The following is a DFT calculation (PBE-GGA) of a relaxed Sm4Se2SCl crystal.

- total magnetization (μB per formula unit) = 0.0
- theoretical density (g cm⁻³) = 7.0
- formation energy without anion corrections (eV per atom) = -1.73
- DFT total energy (hartree per atom) = -0.2097

Lattice parameters (Å, degrees): 4.133 7.101 7.107 70.33 90.00 90.00
Fractional positions:
Se 0.000 0.000 0.000
Se 0.500 0.000 0.500
Sm 0.000 0.749 0.729
Sm 0.500 0.265 0.725
Sm 0.500 0.735 0.275
Sm 0.000 0.251 0.271
Cl 0.500 0.500 0.000
S 0.000 0.500 0.500

Entry 15:
The following is a DFT calculation (PBE-GGA) of a relaxed Sm6Se3S2Cl crystal.

- total magnetization (μB per formula unit) = 0.0
- theoretical density (g cm⁻³) = 7.0
- formation energy without anion corrections (eV per atom) = -1.79
- DFT total energy (hartree per atom) = -0.2154

Lattice parameters (Å, degrees): 4.058 8.284 9.093 101.05 102.89 90.00
Fractional positions:
Sm 0.009 0.256 0.019
Sm 0.671 0.572 0.343
Sm 0.668 0.105 0.336
Sm 0.332 0.895 0.664
Sm 0.991 0.744 0.981
Sm 0.329 0.428 0.657
S 0.831 0.662 0.662
S 0.169 0.338 0.338
Cl 0.500 0.000 0.000
Se 0.163 0.836 0.326
Se 0.500 0.500 0.000
Se 0.837 0.164 0.674

Entry 16:
The following is a DFT calculation (PBE-GGA) of a relaxed SnSeSCl2 crystal.

- distance to the lowest polymorph of the same formula (eV/atom) = 0.027
- total magnetization (μB per formula unit) = 2.8
- theoretical density (g cm⁻³) = 3.5
- formation energy without anion corrections (eV per atom) = 0.11
- DFT total energy (hartree per atom) = -0.1084

Lattice parameters (Å, degrees): 5.278 5.278 5.067 90.00 90.00 90.00
Fractional positions:
Sn 0.000 0.000 0.000
Cl 0.500 0.000 0.000
Cl 0.000 0.500 0.000
Se 0.500 0.500 0.500
S 0.000 0.000 0.500

Entry 17:
The following is a DFT calculation (PBE-GGA) of a relaxed SnSeS2Cl crystal.

- distance to the lowest polymorph of the same formula (eV/atom) = 0.000
- total magnetization (μB per formula unit) = 0.0
- theoretical density (g cm⁻³) = 4.2
- formation energy without anion corrections (eV per atom) = 0.14
- DFT total energy (hartree per atom) = -0.1242

Lattice parameters (Å, degrees): 4.963 4.963 4.798 90.00 90.00 90.00
Fractional positions:
S 0.000 0.500 0.000
S 0.500 0.000 0.000
Se 0.000 0.000 0.000
Cl 0.000 0.000 0.500
Sn 0.500 0.500 0.500

Entry 18:
The following is a DFT calculation (PBE-GGA) of a relaxed SnSeS2Cl crystal.

- distance to the lowest polymorph of the same formula (eV/atom) = 0.309
- total magnetization (μB per formula unit) = 1.0
- theoretical density (g cm⁻³) = 3.9
- formation energy without anion corrections (eV per atom) = 0.45
- DFT total energy (hartree per atom) = -0.1129

Lattice parameters (Å, degrees): 5.061 5.061 4.995 90.00 90.00 90.00
Fractional positions:
Cl 0.000 0.000 0.500
Se 0.500 0.500 0.500
Sn 0.000 0.000 0.000
S 0.000 0.500 0.000
S 0.500 0.000 0.000

Entry 19:
The following is a DFT calculation (PBE-GGA) of a relaxed SnSeSCl2 crystal.

- distance to the lowest polymorph of the same formula (eV/atom) = 0.000
- total magnetization (μB per formula unit) = 0.0
- theoretical density (g cm⁻³) = 3.9
- formation energy without anion corrections (eV per atom) = 0.08
- DFT total energy (hartree per atom) = -0.1094

Lattice parameters (Å, degrees): 5.063 5.063 4.967 90.00 90.00 90.00
Fractional positions:
Sn 0.500 0.500 0.500
Se 0.000 0.000 0.000
Cl 0.000 0.500 0.000
Cl 0.500 0.000 0.000
S 0.000 0.000 0.500

Entry 20:
The following is a DFT calculation (PBE-GGA) of a relaxed Sr6Se3S2Cl crystal.

- total magnetization (μB per formula unit) = 0.0
- theoretical density (g cm⁻³) = 4.1
- formation energy without anion corrections (eV per atom) = -2.03
- DFT total energy (hartree per atom) = -0.1684

Lattice parameters (Å, degrees): 4.371 8.726 9.742 102.61 102.96 90.00
Fractional positions:
S 0.165 0.331 0.331
S 0.835 0.669 0.669
Cl 0.500 0.000 0.000
Se 0.500 0.500 0.000
Se 0.837 0.165 0.674
Se 0.163 0.835 0.326
Sr 0.669 0.578 0.338
Sr 0.997 0.739 0.993
Sr 0.331 0.422 0.662
Sr 0.329 0.907 0.657
Sr 0.003 0.261 0.007
Sr 0.671 0.093 0.343

Entry 21:
The following is a DFT calculation (PBE-GGA) of a relaxed SrSeSCl2 crystal.

- distance to the lowest polymorph of the same formula (eV/atom) = 0.408
- total magnetization (μB per formula unit) = 0.9
- theoretical density (g cm⁻³) = 2.4
- formation energy without anion corrections (eV per atom) = -0.40
- DFT total energy (hartree per atom) = -0.1101

Lattice parameters (Å, degrees): 5.554 5.554 6.077 90.00 90.00 90.00
Fractional positions:
Cl 0.000 0.500 0.000
Cl 0.500 0.000 0.000
Se 0.500 0.500 0.500
S 0.000 0.000 0.500
Sr 0.000 0.000 0.000

Entry 22:
The following is a DFT calculation (PBE-GGA) of a relaxed SrSeSCl2 crystal.

- distance to the lowest polymorph of the same formula (eV/atom) = 0.000
- total magnetization (μB per formula unit) = 0.0
- theoretical density (g cm⁻³) = 3.3
- formation energy without anion corrections (eV per atom) = -0.81
- DFT total energy (hartree per atom) = -0.1251

Lattice parameters (Å, degrees): 5.176 5.176 5.008 90.00 90.00 90.00
Fractional positions:
S 0.000 0.000 0.500
Sr 0.500 0.500 0.500
Cl 0.500 0.000 0.000
Cl 0.000 0.500 0.000
Se 0.000 0.000 0.000

Entry 23:
The following is a DFT calculation (PBE-GGA) of a relaxed TaSeS2Cl crystal.

- distance to the lowest polymorph of the same formula (eV/atom) = 0.000
- total magnetization (μB per formula unit) = 2.3
- theoretical density (g cm⁻³) = 5.2
- formation energy without anion corrections (eV per atom) = -0.08
- DFT total energy (hartree per atom) = -0.1900

Lattice parameters (Å, degrees): 4.809 4.809 4.917 90.00 90.00 90.00
Fractional positions:
Se 0.500 0.500 0.500
Cl 0.000 0.000 0.500
S 0.500 0.000 0.000
S 0.000 0.500 0.000
Ta 0.000 0.000 0.000

Entry 24:
The following is a DFT calculation (PBE-GGA) of a relaxed TaSeS2Cl crystal.

- distance to the lowest polymorph of the same formula (eV/atom) = 1.151
- total magnetization (μB per formula unit) = 3.0
- theoretical density (g cm⁻³) = 5.5
- formation energy without anion corrections (eV per atom) = 1.07
- DFT total energy (hartree per atom) = -0.1477

Lattice parameters (Å, degrees): 4.842 4.842 4.669 90.00 90.00 90.00
Fractional positions:
S 0.500 0.000 0.000
S 0.000 0.500 0.000
Ta 0.500 0.500 0.500
Se 0.000 0.000 0.000
Cl 0.000 0.000 0.500

Entry 25:
The following is a DFT calculation (PBE-GGA) of a relaxed TeSeSCl2 crystal.

- distance to the lowest polymorph of the same formula (eV/atom) = 0.034
- total magnetization (μB per formula unit) = 0.8
- theoretical density (g cm⁻³) = 4.0
- formation energy without anion corrections (eV per atom) = 0.42
- DFT total energy (hartree per atom) = -0.0909

Lattice parameters (Å, degrees): 4.768 4.768 5.620 90.00 90.00 90.00
Fractional positions:
S 0.000 0.000 0.500
Cl 0.500 0.000 0.000
Cl 0.000 0.500 0.000
Te 0.500 0.500 0.500
Se 0.000 0.000 0.000

Entry 26:
The following is a DFT calculation (PBE-GGA) of a relaxed TeSeSCl2 crystal.

- distance to the lowest polymorph of the same formula (eV/atom) = 0.000
- total magnetization (μB per formula unit) = 2.4
- theoretical density (g cm⁻³) = 3.5
- formation energy without anion corrections (eV per atom) = 0.38
- DFT total energy (hartree per atom) = -0.0921

Lattice parameters (Å, degrees): 5.313 5.313 5.145 90.00 90.00 90.00
Fractional positions:
Cl 0.500 0.000 0.000
Cl 0.000 0.500 0.000
S 0.000 0.000 0.500
Te 0.000 0.000 0.000
Se 0.500 0.500 0.500

Entry 27:
The following is a DFT calculation (PBE-GGA) of a relaxed TeSeS2Cl crystal.

- distance to the lowest polymorph of the same formula (eV/atom) = 0.000
- total magnetization (μB per formula unit) = 0.0
- theoretical density (g cm⁻³) = 4.3
- formation energy without anion corrections (eV per atom) = 0.54
- DFT total energy (hartree per atom) = -0.1032

Lattice parameters (Å, degrees): 4.967 4.967 4.748 90.00 90.00 90.00
Fractional positions:
Te 0.500 0.500 0.500
S 0.500 0.000 0.000
S 0.000 0.500 0.000
Se 0.000 0.000 0.000
Cl 0.000 0.000 0.500